No. 1
# Tb3Zn5H12

A relaxed structure of Tb3Zn5H12 (PBE, the Alexandria database).

Cell lengths 10.543, 10.543, 10.543 Å; angles 109.47, 109.47, 109.47 degrees
Atoms (fractional coordinates):
Zn  0.875  0.625  0.750
Tb  0.250  0.125  0.375
Zn  0.125  0.375  0.250
H  0.255  0.857  0.960
H  0.357  0.960  0.755
Tb  0.875  0.750  0.125
Tb  0.625  0.250  0.375
Zn  0.375  0.125  0.750
Tb  0.125  0.875  0.750
H  0.295  0.540  0.397
H  0.103  0.898  0.143
Zn  0.500  0.000  0.500
Zn  0.625  0.750  0.875
Zn  0.000  0.500  0.500
H  0.898  0.103  0.643
Tb  0.125  0.250  0.875
Zn  0.375  0.250  0.125
H  0.540  0.245  0.143
H  0.745  0.143  0.040
Tb  0.750  0.875  0.625
H  0.898  0.795  0.755
Tb  0.250  0.625  0.875
Zn  0.750  0.625  0.375
H  0.705  0.460  0.603
H  0.398  0.143  0.603
H  0.795  0.898  0.255
Zn  0.500  0.500  0.000
Zn  0.125  0.750  0.375
Zn  0.875  0.250  0.625
H  0.745  0.602  0.205
H  0.397  0.357  0.602
H  0.643  0.040  0.245
H  0.357  0.397  0.102
H  0.397  0.040  0.295
H  0.755  0.295  0.898
H  0.897  0.795  0.540
H  0.040  0.643  0.745
Zn  0.625  0.875  0.250
H  0.460  0.755  0.857
Zn  0.000  0.500  0.000
Tb  0.375  0.625  0.250
H  0.102  0.205  0.245
H  0.143  0.745  0.540
H  0.245  0.705  0.102
Zn  0.250  0.875  0.125
H  0.602  0.857  0.397
Zn  0.250  0.375  0.625
H  0.205  0.103  0.960
H  0.245  0.540  0.643
Zn  0.500  0.000  0.000
H  0.857  0.602  0.897
Tb  0.750  0.375  0.125
Zn  0.000  0.000  0.000
H  0.205  0.102  0.745
H  0.295  0.755  0.398
H  0.960  0.357  0.255
H  0.255  0.398  0.795
H  0.540  0.295  0.897
H  0.398  0.255  0.295
H  0.755  0.460  0.357
H  0.960  0.603  0.205
Tb  0.625  0.375  0.750
H  0.603  0.643  0.398
H  0.460  0.705  0.103
H  0.705  0.245  0.602
H  0.103  0.205  0.460
Tb  0.875  0.125  0.250
H  0.897  0.102  0.857
H  0.040  0.397  0.795
H  0.603  0.960  0.705
H  0.102  0.897  0.357
H  0.643  0.603  0.898
Tb  0.375  0.750  0.625
Zn  0.000  0.000  0.500
H  0.857  0.255  0.460
H  0.795  0.897  0.040
Zn  0.500  0.500  0.500
Zn  0.750  0.125  0.875
H  0.143  0.398  0.103
H  0.602  0.745  0.705

Calculated values
Crystal system: cubic
Electronic total energy: -62.21 eV/f.u.

---

No. 2
# Tb2ZnH

A relaxed structure of Tb2ZnH (PBE, the Alexandria database).

Cell lengths 3.665, 3.665, 7.372 Å; angles 75.61, 75.61, 60.00 degrees
Atoms (fractional coordinates):
Tb  0.232  0.232  0.303
Zn  0.000  0.000  0.000
Tb  0.768  0.768  0.697
H  0.500  0.500  0.500

Calculated values
Crystal system: trigonal
Electronic total energy: -14.84 eV/f.u.

---

No. 3
# TbZrH

A relaxed structure of TbZrH (PBE, the Alexandria database).

Cell lengths 3.349, 3.349, 11.335 Å; angles 81.51, 81.51, 60.00 degrees
Atoms (fractional coordinates):
Zr  0.372  0.372  0.885
Tb  0.122  0.122  0.634
Tb  0.878  0.878  0.366
H  0.261  0.261  0.217
Zr  0.628  0.628  0.115
H  0.739  0.739  0.783

Calculated values
E above lowest polymorph: 0 meV per atom
Crystal system: trigonal
Electronic total energy: -17.06 eV/f.u.

---

No. 4
# TbZrH2

A relaxed structure of TbZrH2 (PBE, the Alexandria database).

Cell lengths 3.364, 3.364, 5.873 Å; angles 73.36, 73.36, 60.00 degrees
Atoms (fractional coordinates):
Tb  0.500  0.500  0.500
Zr  0.000  0.000  0.000
H  0.733  0.733  0.801
H  0.267  0.267  0.199

Calculated values
E above lowest polymorph: 0 meV per atom
Crystal system: trigonal
Electronic total energy: -21.15 eV/f.u.

---

No. 5
# TbZrH

A relaxed structure of TbZrH (PBE, the Alexandria database).

Cell lengths 3.408, 3.408, 5.446 Å; angles 90.00, 90.00, 120.00 degrees
Atoms (fractional coordinates):
Tb  0.000  0.000  0.935
Zr  0.667  0.333  0.428
H  0.333  0.667  0.638

Calculated values
E above lowest polymorph: 24 meV per atom
Crystal system: trigonal
Electronic total energy: -16.98 eV/f.u.

---

No. 6
# Tb2ZrH8

A relaxed structure of Tb2ZrH8 (PBE, the Alexandria database).

Cell lengths 3.700, 4.833, 6.209 Å; angles 112.90, 107.33, 90.00 degrees
Atoms (fractional coordinates):
H  0.652  0.406  0.303
H  0.826  0.826  0.653
Zr  0.500  0.000  0.000
H  0.652  0.897  0.303
Tb  0.833  0.333  0.665
Tb  0.167  0.667  0.335
H  0.000  0.761  0.000
H  0.174  0.174  0.347
H  0.000  0.239  0.000
H  0.348  0.103  0.697
H  0.348  0.594  0.697

Calculated values
Crystal system: orthorhombic
Electronic total energy: -50.27 eV/f.u.

---

No. 7
# TbZrH2

A relaxed structure of TbZrH2 (PBE, the Alexandria database).

Cell lengths 3.355, 3.355, 5.971 Å; angles 73.69, 73.69, 60.00 degrees
Atoms (fractional coordinates):
H  0.240  0.240  0.280
Tb  0.672  0.672  0.984
H  0.093  0.093  0.720
Zr  0.495  0.495  0.516

Calculated values
E above lowest polymorph: 112 meV per atom
Crystal system: trigonal
Electronic total energy: -20.70 eV/f.u.

---

No. 8
# TcH

A relaxed structure of TcH (PBE, the Alexandria database).

Cell lengths 2.961, 2.961, 4.637 Å; angles 90.00, 90.00, 120.00 degrees
Atoms (fractional coordinates):
Tc  0.667  0.333  0.233
H  0.333  0.667  0.349
Tc  0.333  0.667  0.733
H  0.667  0.333  0.849

Calculated values
E above lowest polymorph: 128 meV per atom
Crystal system: hexagonal
Electronic total energy: -13.49 eV/f.u.

---

No. 9
# TcH2

A relaxed structure of TcH2 (PBE, the Alexandria database).

Cell lengths 2.905, 2.905, 17.484 Å; angles 90.00, 90.00, 120.00 degrees
Atoms (fractional coordinates):
Tc  0.000  0.000  0.896
H  0.667  0.333  0.609
H  0.667  0.333  0.333
Tc  0.333  0.667  0.562
Tc  0.333  0.667  0.771
H  0.000  0.000  0.276
Tc  0.667  0.333  0.438
H  0.000  0.000  0.000
Tc  0.000  0.000  0.104
H  0.000  0.000  0.724
H  0.333  0.667  0.942
H  0.000  0.000  0.500
H  0.667  0.333  0.058
H  0.333  0.667  0.667
H  0.333  0.667  0.167
Tc  0.667  0.333  0.229
H  0.333  0.667  0.391
H  0.667  0.333  0.833

Calculated values
E above lowest polymorph: 0 meV per atom
Crystal system: trigonal
Electronic total energy: -16.82 eV/f.u.

---

No. 10
# TcH3

A relaxed structure of TcH3 (PBE, the Alexandria database).

Cell lengths 2.596, 2.596, 8.111 Å; angles 92.62, 96.28, 119.87 degrees
Atoms (fractional coordinates):
H  0.429  0.932  0.728
H  0.507  0.797  0.658
Tc  0.814  0.973  0.152
H  0.925  0.057  0.355

Calculated values
E above lowest polymorph: 234 meV per atom
Crystal system: triclinic
Electronic total energy: -18.82 eV/f.u.

---

no.,total magnetic moment (μB/cell)
1,0.00
2,0.00
3,0.00
4,0.00
5,0.00
6,0.00
7,0.00
8,0.00
9,0.00
10,0.00